VASP calculation (PBE) on crystalline TePt15 at its relaxed geometry.

Output
The size of the total moment comes out at 0.01 Bohr magnetons per cell. As for the space group: No. 11. As for the calculated total energy: -5.808 eV per atom.

Structure (POSCAR):
```
TePt15
1.0
-2.4192 -1.8709 4.6607
-0.6786 -2.4023 -1.3166
38.6560 -17.9609 12.8503
Pt Te
30 2
direct
0.3750 0.0000 0.1687 Pt
0.6301 0.5000 0.2125 Pt
0.1200 0.5000 0.2125 Pt
0.8750 0.0000 0.2573 Pt
0.3750 0.0000 0.2575 Pt
0.6241 0.5000 0.3017 Pt
0.1259 0.5000 0.3017 Pt
0.3750 0.0000 0.3457 Pt
0.8750 0.0000 0.3458 Pt
0.6255 0.5000 0.3899 Pt
0.1245 0.5000 0.3899 Pt
0.8751 0.0000 0.4338 Pt
0.3750 0.0000 0.4338 Pt
0.6251 0.5000 0.4779 Pt
0.1249 0.5000 0.4779 Pt
0.8751 0.0000 0.5221 Pt
0.3749 0.0000 0.5221 Pt
0.6250 0.5000 0.5662 Pt
0.1249 0.5000 0.5662 Pt
0.8755 0.0000 0.6101 Pt
0.3745 0.0000 0.6101 Pt
0.1250 0.5000 0.6542 Pt
0.6250 0.5000 0.6543 Pt
0.8741 0.0000 0.6983 Pt
0.3759 0.0000 0.6983 Pt
0.6250 0.5000 0.7425 Pt
0.1250 0.5000 0.7427 Pt
0.8799 0.0000 0.7875 Pt
0.3700 0.0000 0.7875 Pt
0.6251 0.5000 0.8313 Pt
0.8750 0.0000 0.1611 Te
0.1250 0.5000 0.8388 Te
```


VASP calculation (PBE) on crystalline PmGaI at its relaxed geometry.

Output
The size of the total moment comes out at 0.00 Bohr magnetons per cell. As for the space group: No. 12. As for the calculated total energy: -4.187 eV per atom.

Structure (POSCAR):
```
PmGaI
1.0
3.7040 -2.1387 0.0000
3.7040 2.1387 0.0000
-0.2538 0.0000 12.2765
Ga I Pm
2 2 2
direct
0.6658 0.6658 0.4750 Ga
0.3342 0.3342 0.5250 Ga
0.3218 0.3218 0.1642 I
0.6782 0.6782 0.8358 I
0.9941 0.9941 0.3307 Pm
0.0059 0.0059 0.6693 Pm
```


VASP calculation (PBE) on crystalline La2TbMg3TlGa2 at its relaxed geometry.

Output
The size of the total moment comes out at 0.01 Bohr magnetons per cell. As for the space group: No. 38. As for the calculated total energy: -3.511 eV per atom.

Structure (POSCAR):
```
La2TbMg3TlGa2
1.0
4.6648 0.0000 0.0000
0.0000 6.5048 3.8023
0.0000 -6.5048 3.8023
Ga La Mg Tb Tl
2 2 3 1 1
direct
0.5000 0.6630 0.3406 Ga
0.5000 0.3406 0.6630 Ga
0.0000 0.4343 0.0015 La
0.0000 0.0015 0.4343 La
0.5000 0.2506 0.2506 Mg
0.5000 0.9984 0.7497 Mg
0.5000 0.7497 0.9984 Mg
0.0000 0.5698 0.5698 Tb
0.0000 0.9919 0.9919 Tl
```


VASP calculation (PBE) on crystalline Cs2Pm at its relaxed geometry.

Output
The size of the total moment comes out at 2.67 Bohr magnetons per cell. As for the space group: No. 227. As for the calculated total energy: -1.332 eV per atom.

Structure (POSCAR):
```
Cs2Pm
1.0
-1.7994 -6.5976 -4.2613
-7.7013 -2.0252 -1.2306
-3.2267 0.7066 -7.3495
Cs Pm
4 2
direct
0.6250 0.6250 0.1250 Cs
0.6250 0.1250 0.6250 Cs
0.1250 0.6250 0.6250 Cs
0.6250 0.6250 0.6250 Cs
0.0000 0.0000 0.0000 Pm
0.2500 0.2500 0.2500 Pm
```